Material: In2FeBr
Method: DFT, PBE
State: optimized geometry

* E_tot: -3.77 eV per atom
* spin magnetization: 2.035 μB per formula unit
* offset from the most stable computed form: 74.7 meV/atom
* formation energy from raw total energies: 0.14 eV/atom

a = 3.5588 Å, b = 3.5588 Å, c = 24.7170 Å
α = 90.00°, β = 90.00°, γ = 120.00°
Closest atoms and distances in Å follow each position.
Space group R-3m (No. 166, hexagonal axes)
Inequivalent atoms, fractional coordinates:
In1 0.0000 0.0000 0.2370  3 Fe 2.69
Fe1 0.0000 0.0000 0.5000  6 In 2.69
Br1 0.0000 0.0000 0.0000  6 In 3.15

***

Material: InFeBr2
Method: DFT, PBE
State: optimized geometry

* E_tot: -3.62 eV per atom
* spin magnetization: 3.526 μB per formula unit
* offset from the most stable computed form: 234.6 meV/atom
* formation energy from raw total energies: 0.01 eV/atom

a = 3.3117 Å, b = 3.3117 Å, c = 9.1464 Å
α = 90.00°, β = 90.00°, γ = 90.00°
Closest atoms and distances in Å follow each position.
Space group P4/mmm (No. 123)
Inequivalent atoms, fractional coordinates:
In1 0.0000 0.0000 0.0000  4 In 3.31
Fe1 0.0000 0.0000 0.5000  8 Br 2.85
Br1 0.5000 0.5000 0.3227  4 Fe 2.85

***

Material: InFe2Br6
Method: DFT, PBE
State: optimized geometry

* E_tot: -3.81 eV per atom
* spin magnetization: 9.000 μB per formula unit
* formation energy from raw total energies: -0.51 eV/atom

a = 14.1906 Å, b = 13.8261 Å, c = 6.9113 Å
α = 90.00°, β = 100.16°, γ = 90.00°
Closest atoms and distances in Å follow each position.
Space group C2/c (No. 15)
Inequivalent atoms, fractional coordinates:
In1 0.0000 0.1272 0.2500  6 Br 3.19-3.47
Fe1 0.2018 0.4240 0.2683  4 Br 2.34-2.48
Br1 0.1285 0.0797 0.6824  1 Fe 2.37
Br2 0.1285 0.2899 0.0978  1 Fe 2.34
Br3 0.1450 0.4287 0.5870  2 Fe 2.45-2.48

***

Material: InFeBr2
Method: DFT, PBE
State: optimized geometry

* E_tot: -3.86 eV per atom
* spin magnetization: 3.114 μB per formula unit
* offset from the most stable computed form: 0.0 meV/atom
* formation energy from raw total energies: -0.22 eV/atom

a = 3.6266 Å, b = 3.6266 Å, c = 27.1743 Å
α = 90.00°, β = 90.00°, γ = 120.00°
Closest atoms and distances in Å follow each position.
Space group R3m (No. 160, hexagonal axes)
Inequivalent atoms, fractional coordinates:
In1 0.0000 0.0000 0.0000  3 Fe 2.86, 3 Br 2.88
Fe1 0.0000 0.0000 0.7383  3 Br 2.53
Br1 0.0000 0.0000 0.2604  3 In 2.88
Br2 0.0000 0.0000 0.4576  3 Fe 2.53

***

Material: In2FeBr
Method: DFT, PBE
State: optimized geometry

* E_tot: -3.75 eV per atom
* spin magnetization: 3.195 μB per formula unit
* offset from the most stable computed form: 86.3 meV/atom
* formation energy from raw total energies: 0.15 eV/atom

a = 3.1897 Å, b = 3.1897 Å, c = 9.5988 Å
α = 90.00°, β = 90.00°, γ = 90.00°
Closest atoms and distances in Å follow each position.
Space group P4mm (No. 99)
Inequivalent atoms, fractional coordinates:
In1 0.0000 0.0000 0.0000  4 Fe 2.99, 4 In 3.19
In2 0.5000 0.5000 0.2703  8 In 3.19-3.44
Fe1 0.5000 0.5000 0.7951  4 Br 2.69, 4 In 2.99
Br1 0.0000 0.0000 0.6416  4 Fe 2.69

***

Material: In2FeBr
Method: DFT, PBE
State: optimized geometry

* E_tot: -3.36 eV per atom
* spin magnetization: 2.867 μB per formula unit
* offset from the most stable computed form: 476.3 meV/atom
* formation energy from raw total energies: 0.54 eV/atom

a = 7.3135 Å, b = 7.3135 Å, c = 7.3135 Å
α = 90.00°, β = 90.00°, γ = 90.00°
Closest atoms and distances in Å follow each position.
Space group F-43m (No. 216)
Inequivalent atoms, fractional coordinates:
In1 0.0000 0.0000 0.0000  4 In 3.17, 4 Br 3.17
In2 0.2500 0.2500 0.2500  4 In 3.17, 4 Fe 3.17
Fe1 0.0000 0.0000 0.5000  4 Br 3.17, 4 In 3.17
Br1 0.2500 0.2500 0.7500  4 In 3.17, 4 Fe 3.17

***

Material: InFeBr2
Method: DFT, PBE
State: optimized geometry

* E_tot: -3.39 eV per atom
* spin magnetization: 3.299 μB per formula unit
* offset from the most stable computed form: 472.4 meV/atom
* formation energy from raw total energies: 0.25 eV/atom

a = 3.7566 Å, b = 4.4643 Å, c = 6.4728 Å
α = 90.00°, β = 90.00°, γ = 90.00°
Closest atoms and distances in Å follow each position.
Space group Pmmm (No. 47)
Inequivalent atoms, fractional coordinates:
In1 0.0000 0.0000 0.0000  4 Br 2.92
Fe1 0.5000 0.0000 0.5000  4 Br 2.92
Br1 0.0000 0.5000 0.5000  4 Fe 2.92
Br2 0.5000 0.5000 0.0000  4 In 2.92

***

Material: InFe2Br
Method: DFT, PBE
State: optimized geometry

* E_tot: -4.67 eV per atom
* spin magnetization: 5.283 μB per formula unit
* offset from the most stable computed form: 459.9 meV/atom
* formation energy from raw total energies: 0.66 eV/atom

a = 4.6906 Å, b = 4.6906 Å, c = 3.1894 Å
α = 90.00°, β = 90.00°, γ = 90.00°
Closest atoms and distances in Å follow each position.
Space group P4/mmm (No. 123)
Inequivalent atoms, fractional coordinates:
In1 0.0000 0.0000 0.0000  8 Fe 2.84
Fe1 0.0000 0.5000 0.5000  4 In 2.84, 4 Br 2.84
Br1 0.5000 0.5000 0.0000  8 Fe 2.84

***

Material: InFe2Br
Method: DFT, PBE
State: optimized geometry

* E_tot: -4.83 eV per atom
* spin magnetization: 6.045 μB per formula unit
* offset from the most stable computed form: 299.9 meV/atom
* formation energy from raw total energies: 0.50 eV/atom

a = 3.2071 Å, b = 3.2071 Å, c = 24.4838 Å
α = 90.00°, β = 90.00°, γ = 120.00°
Closest atoms and distances in Å follow each position.
Space group R-3m (No. 166, hexagonal axes)
Inequivalent atoms, fractional coordinates:
In1 0.0000 0.0000 0.0000  6 Fe 2.83
Fe1 0.0000 0.0000 0.2460  3 Br 2.68, 3 In 2.83
Br1 0.0000 0.0000 0.5000  6 Fe 2.68

***

Material: InFe2Br
Method: DFT, PBE
State: optimized geometry

* E_tot: -4.45 eV per atom
* spin magnetization: 5.239 μB per formula unit
* offset from the most stable computed form: 681.1 meV/atom
* formation energy from raw total energies: 0.88 eV/atom

a = 6.6725 Å, b = 6.6725 Å, c = 6.6725 Å
α = 90.00°, β = 90.00°, γ = 90.00°
Closest atoms and distances in Å follow each position.
Space group F-43m (No. 216)
Inequivalent atoms, fractional coordinates:
In1 0.0000 0.0000 0.0000  4 Br 2.89, 4 Fe 2.89
Fe1 0.0000 0.0000 0.5000  4 Fe 2.89, 4 Br 2.89
Fe2 0.2500 0.2500 0.7500  4 In 2.89, 4 Fe 2.89
Br1 0.2500 0.2500 0.2500  4 In 2.89, 4 Fe 2.89

***

Material: InFeBr2
Method: DFT, PBE
State: optimized geometry

* E_tot: -3.80 eV per atom
* spin magnetization: 3.316 μB per formula unit
* offset from the most stable computed form: 58.5 meV/atom
* formation energy from raw total energies: -0.16 eV/atom

a = 3.5513 Å, b = 5.2853 Å, c = 13.1143 Å
α = 90.00°, β = 90.00°, γ = 90.00°
Closest atoms and distances in Å follow each position.
Space group Immm (No. 71)
Inequivalent atoms, fractional coordinates:
In1 0.0000 0.0000 0.0000  4 Fe 3.18, 4 Br 3.24, 2 In 3.55
Fe1 0.0000 0.0000 0.5000  4 Br 2.58
Br1 0.0000 0.5000 0.1426  2 Fe 2.58

***

Material: InFeBr2
Method: DFT, PBE
State: optimized geometry

* E_tot: -3.16 eV per atom
* spin magnetization: 3.095 μB per formula unit
* offset from the most stable computed form: 699.1 meV/atom
* formation energy from raw total energies: 0.48 eV/atom

a = 7.3476 Å, b = 7.3476 Å, c = 7.3476 Å
α = 90.00°, β = 90.00°, γ = 90.00°
Closest atoms and distances in Å follow each position.
Space group F-43m (No. 216)
Inequivalent atoms, fractional coordinates:
In1 0.0000 0.0000 0.0000  4 Fe 3.18, 4 Br 3.18
Fe1 0.2500 0.2500 0.7500  4 In 3.18, 4 Br 3.18
Br1 0.0000 0.0000 0.5000  4 Br 3.18, 4 Fe 3.18
Br2 0.2500 0.2500 0.2500  4 In 3.18, 4 Br 3.18